VASP calculation (PBE-GGA) on a geometry-optimized Ho5InTc structure. Values from VASP.

The energy relative to the elements is -0.036 eV/atom. The energy comes out at -5.1780 eV per atom.

The structure in Quantum ESPRESSO input format:
```
&SYSTEM
  ibrav = 0, nat = 14, ntyp = 3
/
ATOMIC_SPECIES
Ho 164.93 Ho.upf
In 114.82 In.upf
Tc 98.00 Tc.upf
CELL_PARAMETERS angstrom
-0.932 3.167 -4.923
-5.861 0.865 0.166
-0.881 10.979 4.113
ATOMIC_POSITIONS crystal
Ho 0.458 0.794 0.937
Ho 0.080 0.415 0.875
Ho 0.987 0.013 0.250
Ho 0.585 0.920 0.625
Ho 0.920 0.585 0.125
Ho 0.415 0.080 0.375
Ho 0.206 0.542 0.563
Ho 0.542 0.206 0.063
Ho 0.013 0.987 0.750
Ho 0.794 0.458 0.437
In 0.601 0.399 0.750
In 0.399 0.601 0.250
Tc 0.000 0.000 0.000
Tc 0.000 0.000 0.500
```

VASP calculation (PBE-GGA) on a geometry-optimized Ho6InTc2 structure. Values from VASP.

The energy relative to the elements is -0.194 eV/atom. The energy comes out at -5.8537 eV per atom.

The structure in Quantum ESPRESSO input format:
```
&SYSTEM
  ibrav = 0, nat = 18, ntyp = 3
/
ATOMIC_SPECIES
Ho 164.93 Ho.upf
In 114.82 In.upf
Tc 98.00 Tc.upf
CELL_PARAMETERS angstrom
8.491 0.043 -0.182
-3.177 7.874 0.182
-2.997 -3.730 7.017
ATOMIC_POSITIONS crystal
Ho 0.704 0.385 0.681
Ho 0.296 0.615 0.319
Ho 0.704 0.023 0.319
Ho 0.787 0.763 0.550
Ho 0.296 0.977 0.681
Ho 0.213 0.237 0.450
Ho 0.527 0.717 0.810
Ho 0.093 0.283 0.810
Ho 0.787 0.237 0.024
Ho 0.907 0.717 0.190
Ho 0.473 0.283 0.190
Ho 0.213 0.763 0.976
In 0.000 0.000 0.000
In 0.000 0.500 0.500
Tc 0.366 0.000 0.366
Tc 0.500 0.384 0.884
Tc 0.634 0.000 0.634
Tc 0.500 0.616 0.116
```

VASP calculation (PBE-GGA) on a geometry-optimized Ho12In6Tc structure. Values from VASP.

The energy relative to the elements is -0.195 eV/atom. The energy comes out at -4.4961 eV per atom.

The structure in Quantum ESPRESSO input format:
```
&SYSTEM
  ibrav = 0, nat = 19, ntyp = 3
/
ATOMIC_SPECIES
Ho 164.93 Ho.upf
In 114.82 In.upf
Tc 98.00 Tc.upf
CELL_PARAMETERS angstrom
7.971 0.553 0.663
-0.661 7.963 0.663
-0.661 -0.771 7.953
ATOMIC_POSITIONS crystal
Ho 0.804 0.531 0.447
Ho 0.553 0.196 0.469
Ho 0.648 0.971 0.873
Ho 0.469 0.553 0.196
Ho 0.352 0.029 0.127
Ho 0.196 0.469 0.553
Ho 0.531 0.447 0.804
Ho 0.127 0.352 0.029
Ho 0.873 0.648 0.971
Ho 0.029 0.127 0.352
Ho 0.447 0.804 0.531
Ho 0.971 0.873 0.648
In 0.258 0.724 0.882
In 0.724 0.882 0.258
In 0.118 0.742 0.276
In 0.276 0.118 0.742
In 0.742 0.276 0.118
In 0.882 0.258 0.724
Tc 0.000 0.000 0.000
```